<1>
Here is a relaxed structure of YPd3Au from the Alexandria database. Energies are from PBE-GGA.

a b c (Å): 4.9455 4.9455 4.9455
angles (deg): 90.00 90.00 90.00
Fractional coordinates of all 5 atoms:
Y 0.0000 0.0000 0.0000
Pd 0.0000 0.5000 0.5000
Pd 0.5000 0.0000 0.5000
Pd 0.5000 0.5000 0.0000
Au 0.5000 0.5000 0.5000

Summary:
N(E_F): 2.6 states/eV/f.u.
total magnetization: 0.0 μB per formula unit

<2>
Here is a relaxed structure of YPd3Au from the Alexandria database. Energies are from PBE-GGA.

a b c (Å): 6.6234 6.6234 5.3469
angles (deg): 90.00 90.00 119.93
Fractional coordinates of all 10 atoms:
Y 0.1664 0.8336 0.7500
Y 0.8336 0.1664 0.2500
Pd 0.0966 0.2979 0.7500
Pd 0.2979 0.0966 0.2500
Pd 0.2981 0.7019 0.2500
Pd 0.7019 0.2981 0.7500
Pd 0.7021 0.9034 0.7500
Pd 0.9034 0.7021 0.2500
Au 0.5000 0.5000 0.0000
Au 0.5000 0.5000 0.5000

Summary:
N(E_F): 0.9 states/eV/f.u.
total magnetization: 0.0 μB per formula unit

Winner for stability: <2>

<1>
Here is a relaxed structure of Y2Pd2Au from the Alexandria database. Energies are from PBE-GGA.

a b c (Å): 5.5451 5.5451 5.5451
angles (deg): 122.00 122.00 86.57
Fractional coordinates of all 5 atoms:
Y 0.2500 0.7500 0.5000
Y 0.7500 0.2500 0.5000
Pd 0.1580 0.1580 0.0000
Pd 0.8420 0.8420 0.0000
Au 0.5000 0.5000 0.0000

Summary:
N(E_F): 1.6 states/eV/f.u.
total magnetization: 0.0 μB per formula unit

<2>
Here is a relaxed structure of Y2Pd2Au from the Alexandria database. Energies are from PBE-GGA.

a b c (Å): 8.1875 8.1875 8.1875
angles (deg): 152.99 152.99 38.57
Fractional coordinates of all 5 atoms:
Y 0.1105 0.1105 0.0000
Y 0.8895 0.8895 0.0000
Pd 0.2500 0.7500 0.5000
Pd 0.7500 0.2500 0.5000
Au 0.5000 0.5000 0.0000

Summary:
N(E_F): 1.6 states/eV/f.u.
total magnetization: 0.0 μB per formula unit

<3>
Here is a relaxed structure of Y2Pd2Au from the Alexandria database. Energies are from PBE-GGA.

a b c (Å): 7.6088 7.6088 3.7158
angles (deg): 90.00 90.00 90.00
Fractional coordinates of all 10 atoms:
Y 0.1746 0.3254 0.0000
Y 0.3254 0.8254 0.0000
Y 0.6746 0.1746 0.0000
Y 0.8254 0.6746 0.0000
Pd 0.1286 0.6286 0.5000
Pd 0.3714 0.1286 0.5000
Pd 0.6286 0.8714 0.5000
Pd 0.8714 0.3714 0.5000
Au 0.0000 0.0000 0.5000
Au 0.5000 0.5000 0.5000

Summary:
N(E_F): 2.0 states/eV/f.u.
total magnetization: 0.0 μB per formula unit

<4>
Here is a relaxed structure of Y2Pd2Au from the Alexandria database. Energies are from PBE-GGA.

a b c (Å): 7.8648 7.8648 3.7024
angles (deg): 90.00 90.00 90.00
Fractional coordinates of all 10 atoms:
Y 0.1661 0.3339 0.0000
Y 0.3339 0.8339 0.0000
Y 0.6661 0.1661 0.0000
Y 0.8339 0.6661 0.0000
Pd 0.1275 0.6275 0.5000
Pd 0.3725 0.1275 0.5000
Pd 0.6275 0.8725 0.5000
Pd 0.8725 0.3725 0.5000
Au 0.0000 0.0000 0.0000
Au 0.5000 0.5000 0.0000

Summary:
N(E_F): 2.3 states/eV/f.u.
total magnetization: 0.0 μB per formula unit

Winner for stability: <3>

<1>
Here is a relaxed structure of YPd6Au8 from the Alexandria database. Energies are from PBE-GGA.

a b c (Å): 7.7536 7.7536 5.5385
angles (deg): 90.00 90.00 120.00
Fractional coordinates of all 15 atoms:
Y 0.0000 0.0000 0.0000
Pd 0.0419 0.3700 0.1373
Pd 0.3281 0.9581 0.1373
Pd 0.3700 0.3281 0.8627
Pd 0.6300 0.6719 0.1373
Pd 0.6719 0.0419 0.8627
Pd 0.9581 0.6300 0.8627
Au 0.0241 0.3272 0.6314
Au 0.3030 0.9759 0.6314
Au 0.3272 0.3030 0.3686
Au 0.3333 0.6667 0.8499
Au 0.6667 0.3333 0.1501
Au 0.6728 0.6970 0.6314
Au 0.6970 0.0241 0.3686
Au 0.9759 0.6728 0.3686

Summary:
N(E_F): 7.4 states/eV/f.u.
total magnetization: 0.0 μB per formula unit

<2>
Here is a relaxed structure of YPd6Au8 from the Alexandria database. Energies are from PBE-GGA.

a b c (Å): 7.1064 7.1064 7.1064
angles (deg): 67.12 67.12 67.12
Fractional coordinates of all 15 atoms:
Y 0.0000 0.0000 0.0000
Pd 0.0596 0.3874 0.7025
Pd 0.2975 0.9404 0.6126
Pd 0.3874 0.7025 0.0596
Pd 0.6126 0.2975 0.9404
Pd 0.7025 0.0596 0.3874
Pd 0.9404 0.6126 0.2975
Au 0.1135 0.8000 0.4439
Au 0.2000 0.5561 0.8865
Au 0.3215 0.3215 0.3215
Au 0.4439 0.1135 0.8000
Au 0.5561 0.8865 0.2000
Au 0.6785 0.6785 0.6785
Au 0.8000 0.4439 0.1135
Au 0.8865 0.2000 0.5561

Summary:
N(E_F): 4.0 states/eV/f.u.
total magnetization: 0.0 μB per formula unit

Winner for stability: <1>

<1>
Here is a relaxed structure of YPdAu4 from the Alexandria database. Energies are from PBE-GGA.

a b c (Å): 5.4962 5.4962 5.4962
angles (deg): 60.00 60.00 60.00
Fractional coordinates of all 6 atoms:
Y 0.0000 0.0000 0.0000
Pd 0.7500 0.7500 0.7500
Au 0.3754 0.3754 0.3754
Au 0.3754 0.3754 0.8739
Au 0.3754 0.8739 0.3754
Au 0.8739 0.3754 0.3754

Summary:
N(E_F): 4.1 states/eV/f.u.
total magnetization: 0.0 μB per formula unit

<2>
Here is a relaxed structure of YPdAu4 from the Alexandria database. Energies are from PBE-GGA.

a b c (Å): 8.8257 8.8257 4.8489
angles (deg): 90.03 90.03 142.68
Fractional coordinates of all 12 atoms:
Y 0.1221 0.8779 0.7500
Y 0.8779 0.1221 0.2500
Pd 0.3718 0.6282 0.2500
Pd 0.6282 0.3718 0.7500
Au 0.0440 0.4601 0.7500
Au 0.2156 0.2992 0.7506
Au 0.2992 0.2156 0.2506
Au 0.4601 0.0440 0.2500
Au 0.5399 0.9560 0.7500
Au 0.7008 0.7844 0.7494
Au 0.7844 0.7008 0.2494
Au 0.9560 0.5399 0.2500

Summary:
N(E_F): 1.9 states/eV/f.u.
total magnetization: 0.0 μB per formula unit

Winner for stability: <2>

<1>
Here is a relaxed structure of YPd4Au2 from the Alexandria database. Energies are from PBE-GGA.

a b c (Å): 6.8076 7.0158 7.1586
angles (deg): 117.95 92.73 115.87
Fractional coordinates of all 14 atoms:
Y 0.0000 0.0000 0.0000
Y 0.1400 0.5289 0.9288
Pd 0.0586 0.2933 0.4697
Pd 0.1995 0.1094 0.6953
Pd 0.3753 0.9168 0.8643
Pd 0.4707 0.4350 0.1728
Pd 0.6116 0.8771 0.1747
Pd 0.8054 0.2926 0.1183
Pd 0.8597 0.5949 0.5592
Pd 0.9403 0.7812 0.2652
Au 0.2618 0.6873 0.4056
Au 0.4026 0.1469 0.3560
Au 0.6558 0.4459 0.8292
Au 0.7348 0.9767 0.6215

Summary:
N(E_F): 2.1 states/eV/f.u.
total magnetization: 0.0 μB per formula unit

<2>
Here is a relaxed structure of YPd4Au2 from the Alexandria database. Energies are from PBE-GGA.

a b c (Å): 5.5285 5.5285 5.4774
angles (deg): 119.33 119.33 75.89
Fractional coordinates of all 7 atoms:
Y 0.0000 0.0000 0.0000
Pd 0.9996 0.4019 0.7008
Pd 0.0004 0.5981 0.2992
Pd 0.4019 0.9996 0.7008
Pd 0.5981 0.0004 0.2992
Au 0.4997 0.4997 0.2494
Au 0.5003 0.5003 0.7506

Summary:
N(E_F): 2.5 states/eV/f.u.
total magnetization: 0.0 μB per formula unit

Winner for stability: <2>

<1>
Here is a relaxed structure of YPd2Au2 from the Alexandria database. Energies are from PBE-GGA.

a b c (Å): 7.6557 7.6557 7.6557
angles (deg): 143.07 134.31 60.14
Fractional coordinates of all 10 atoms:
Y 0.3719 0.1219 0.2500
Y 0.6281 0.8781 0.7500
Pd 0.1831 0.6853 0.4977
Pd 0.3124 0.3147 0.9977
Pd 0.6876 0.6853 0.0023
Pd 0.8169 0.3147 0.5023
Au 0.1190 0.8690 0.2500
Au 0.2450 0.4950 0.7500
Au 0.7550 0.5050 0.2500
Au 0.8810 0.1310 0.7500

Summary:
N(E_F): 2.0 states/eV/f.u.
total magnetization: 0.0 μB per formula unit

<2>
Here is a relaxed structure of YPd2Au2 from the Alexandria database. Energies are from PBE-GGA.

a b c (Å): 7.1701 7.1701 7.1701
angles (deg): 148.34 148.34 45.39
Fractional coordinates of all 5 atoms:
Y 0.0000 0.0000 0.0000
Pd 0.4017 0.4017 0.0000
Pd 0.5983 0.5983 0.0000
Au 0.2500 0.7500 0.5000
Au 0.7500 0.2500 0.5000

Summary:
N(E_F): 1.9 states/eV/f.u.
total magnetization: 0.0 μB per formula unit

Winner for stability: <1>

<1>
Here is a relaxed structure of YPd2Au8 from the Alexandria database. Energies are from PBE-GGA.

a b c (Å): 7.8537 7.8537 6.5973
angles (deg): 104.14 104.14 30.66
Fractional coordinates of all 11 atoms:
Y 0.0000 0.0000 0.0000
Pd 0.2741 0.2741 0.3669
Pd 0.7259 0.7259 0.6331
Au 0.0967 0.0967 0.4569
Au 0.1846 0.1846 0.9126
Au 0.3592 0.3592 0.8074
Au 0.4501 0.4501 0.2788
Au 0.5499 0.5499 0.7212
Au 0.6408 0.6408 0.1926
Au 0.8154 0.8154 0.0874
Au 0.9033 0.9033 0.5431

Summary:
N(E_F): 4.1 states/eV/f.u.
total magnetization: 0.0 μB per formula unit

<2>
Here is a relaxed structure of YPd2Au8 from the Alexandria database. Energies are from PBE-GGA.

a b c (Å): 7.9498 7.9498 7.9498
angles (deg): 149.16 124.39 64.94
Fractional coordinates of all 11 atoms:
Y 0.0000 0.0000 0.0000
Pd 0.3235 0.3235 0.0000
Pd 0.6765 0.6765 0.0000
Au 0.1000 0.8364 0.2636
Au 0.1614 0.6614 0.5000
Au 0.2963 0.5000 0.7963
Au 0.4273 0.1636 0.2636
Au 0.5727 0.8364 0.7364
Au 0.7037 0.5000 0.2037
Au 0.8386 0.3386 0.5000
Au 0.9000 0.1636 0.7364

Summary:
N(E_F): 4.7 states/eV/f.u.
total magnetization: 0.0 μB per formula unit

Winner for stability: <1>

<1>
Here is a relaxed structure of Zn2Pd8Au from the Alexandria database. Energies are from PBE-GGA.

a b c (Å): 7.2826 7.2826 7.2826
angles (deg): 147.17 122.97 67.39
Fractional coordinates of all 11 atoms:
Zn 0.1942 0.1942 0.0000
Zn 0.8058 0.8058 0.0000
Pd 0.0590 0.3413 0.7177
Pd 0.1958 0.0000 0.1958
Pd 0.3467 0.8467 0.5000
Pd 0.3765 0.6587 0.7177
Pd 0.6235 0.3413 0.2823
Pd 0.6533 0.1533 0.5000
Pd 0.8042 0.0000 0.8042
Pd 0.9410 0.6587 0.2823
Au 0.5000 0.5000 0.0000

Summary:
N(E_F): 11.3 states/eV/f.u.
total magnetization: 0.0 μB per formula unit

<2>
Here is a relaxed structure of Zn2Pd8Au from the Alexandria database. Energies are from PBE-GGA.

a b c (Å): 7.2812 7.2812 6.3310
angles (deg): 107.09 107.09 31.81
Fractional coordinates of all 11 atoms:
Zn 0.2245 0.2245 0.1477
Zn 0.7755 0.7755 0.8523
Pd 0.0464 0.0464 0.2262
Pd 0.1456 0.1456 0.7042
Pd 0.3179 0.3179 0.5833
Pd 0.4006 0.4006 0.0348
Pd 0.5994 0.5994 0.9652
Pd 0.6821 0.6821 0.4167
Pd 0.8544 0.8544 0.2958
Pd 0.9536 0.9536 0.7738
Au 0.5000 0.5000 0.5000

Summary:
N(E_F): 9.9 states/eV/f.u.
total magnetization: 0.0 μB per formula unit

Winner for stability: <2>

<1>
Here is a relaxed structure of Zn2Pd4Au3 from the Alexandria database. Energies are from PBE-GGA.

a b c (Å): 7.7107 7.7107 4.9928
angles (deg): 90.74 90.74 84.99
Fractional coordinates of all 18 atoms:
Zn 0.1348 0.2992 0.0868
Zn 0.2992 0.1348 0.5868
Zn 0.7008 0.8652 0.4132
Zn 0.8652 0.7008 0.9132
Pd 0.0046 0.3310 0.6043
Pd 0.1891 0.6052 0.9139
Pd 0.3310 0.0046 0.1043
Pd 0.3948 0.8109 0.5861
Pd 0.6052 0.1891 0.4139
Pd 0.6690 0.9954 0.8957
Pd 0.8109 0.3948 0.0861
Pd 0.9954 0.6690 0.3957
Au 0.0534 0.9466 0.7500
Au 0.3222 0.4712 0.4258
Au 0.4712 0.3222 0.9258
Au 0.5288 0.6778 0.0742
Au 0.6778 0.5288 0.5742
Au 0.9466 0.0534 0.2500

Summary:
N(E_F): 3.0 states/eV/f.u.
total magnetization: 0.0 μB per formula unit

<2>
Here is a relaxed structure of Zn2Pd4Au3 from the Alexandria database. Energies are from PBE-GGA.

a b c (Å): 3.9355 4.8316 8.6162
angles (deg): 104.48 90.17 113.97
Fractional coordinates of all 9 atoms:
Zn 0.1692 0.3379 0.2136
Zn 0.8308 0.6621 0.7864
Pd 0.1687 0.3377 0.8864
Pd 0.4931 0.9855 0.6722
Pd 0.5069 0.0145 0.3278
Pd 0.8313 0.6623 0.1136
Au 0.1648 0.3294 0.5587
Au 0.5000 0.0000 0.0000
Au 0.8352 0.6706 0.4413

Summary:
N(E_F): 2.9 states/eV/f.u.
total magnetization: 0.0 μB per formula unit

Winner for stability: <2>

<1>
Here is a relaxed structure of Zn2Pd3Au3 from the Alexandria database. Energies are from PBE-GGA.

a b c (Å): 5.0913 5.0913 13.6856
angles (deg): 90.00 90.00 131.95
Fractional coordinates of all 16 atoms:
Zn 0.2286 0.7714 0.6385
Zn 0.2286 0.7714 0.8615
Zn 0.7714 0.2286 0.1385
Zn 0.7714 0.2286 0.3615
Pd 0.0560 0.9440 0.0983
Pd 0.0560 0.9440 0.4017
Pd 0.2483 0.7517 0.2500
Pd 0.7517 0.2483 0.7500
Pd 0.9440 0.0560 0.5983
Pd 0.9440 0.0560 0.9017
Au 0.3594 0.6406 0.0400
Au 0.3594 0.6406 0.4600
Au 0.4646 0.5354 0.7500
Au 0.5354 0.4646 0.2500
Au 0.6406 0.3594 0.5400
Au 0.6406 0.3594 0.9600

Summary:
N(E_F): 2.9 states/eV/f.u.
total magnetization: 0.0 μB per formula unit

<2>
Here is a relaxed structure of Zn2Pd3Au3 from the Alexandria database. Energies are from PBE-GGA.

a b c (Å): 7.1337 7.1337 2.9279
angles (deg): 90.00 90.00 120.00
Fractional coordinates of all 8 atoms:
Zn 0.3333 0.6667 0.0000
Zn 0.6667 0.3333 0.0000
Pd 0.0000 0.6001 0.5000
Pd 0.3999 0.3999 0.5000
Pd 0.6001 0.0000 0.5000
Au 0.0000 0.2377 0.0000
Au 0.2377 0.0000 0.0000
Au 0.7623 0.7623 0.0000

Summary:
N(E_F): 2.6 states/eV/f.u.
total magnetization: 0.0 μB per formula unit

Winner for stability: <2>